Density functional theory data (GGA+U) for a geometry-optimized MnFeO2F structure.

Values from the calculation:
- total moment (μB/f.u.) = 10.00
- VASP energy (eV per atom) = -6.378

abc: 3.923 3.923 3.864
angles: 90.00 90.00 90.00
Space group P4/mmm (No. 123)
One atom of each set of equivalent atoms:
Mn: 0.000 0.000 0.000 (multiplicity 1)
Fe: 0.500 0.500 0.500 (multiplicity 1)
O: 0.000 0.500 0.500 (multiplicity 2)
F: 0.500 0.500 0.000 (multiplicity 1)